<i>
A plane-wave DFT calculation with PBE was carried out for Er2GaCu3 after structural relaxation.

abc: 5.507 5.507 8.247
angles: 105.25 105.25 102.26
Atoms (fractional coordinates):
Er 0.250 0.750 0.500
Er 0.243 0.243 0.000
Er 0.757 0.757 0.000
Er 0.750 0.250 0.500
Ga 0.334 0.334 0.668
Ga 0.666 0.666 0.332
Cu 0.832 0.334 0.166
Cu 0.833 0.833 0.666
Cu 0.666 0.168 0.834
Cu 0.168 0.666 0.834
Cu 0.167 0.167 0.334
Cu 0.334 0.832 0.166

Output
- Total magnetic moment: 0.00 μB/atom
- Volume: 18.49 Å³/atom

***

<ii>
A plane-wave DFT calculation with PBE was carried out for Er2GaCu3 after structural relaxation.

abc: 3.715 4.029 8.109
angles: 104.39 103.24 90.00
Atoms (fractional coordinates):
Er 0.867 0.367 0.734
Er 0.129 0.129 0.258
Ga 0.460 0.960 0.920
Cu 0.544 0.544 0.087
Cu 0.298 0.798 0.596
Cu 0.702 0.702 0.404

Output
- Total magnetic moment: 0.00 μB/atom
- Volume: 19.04 Å³/atom

***

<i> is the most stable structure; the next one sits 42 meV per atom above it.

***

<i>
A plane-wave DFT calculation with PBE was carried out for ErGa3Cu after structural relaxation.

abc: 5.611 5.749 5.490
angles: 90.00 88.20 90.00
Atoms (fractional coordinates):
Ga 0.176 0.505 0.153
Ga 0.176 0.995 0.153
Ga 0.158 0.750 0.567
Ga 0.842 0.250 0.433
Ga 0.824 0.005 0.847
Ga 0.824 0.495 0.847
Cu 0.465 0.750 0.862
Cu 0.535 0.250 0.138
Er 0.332 0.250 0.655
Er 0.668 0.750 0.345

Output
- Total magnetic moment: 0.00 μB/atom
- Volume: 17.70 Å³/atom

***

<ii>
A plane-wave DFT calculation with PBE was carried out for ErGa3Cu after structural relaxation.

abc: 4.064 4.062 6.117
angles: 70.64 70.66 90.01
Atoms (fractional coordinates):
Ga 0.645 0.949 0.414
Ga 0.145 0.448 0.414
Ga 0.801 0.605 0.103
Cu 0.017 0.820 0.671
Er 0.399 0.202 0.908

Output
- Total magnetic moment: 0.00 μB/atom
- Volume: 17.84 Å³/atom

***

<ii> is the most stable structure; the next one sits 33 meV per atom above it.

***

<i>
A plane-wave DFT calculation with PBE was carried out for Er3Ga2Cu after structural relaxation.

abc: 4.308 10.926 11.547
angles: 90.00 90.00 90.00
Atoms (fractional coordinates):
Ga 0.750 0.180 0.016
Ga 0.750 0.320 0.516
Ga 0.250 0.990 0.313
Ga 0.250 0.820 0.984
Ga 0.750 0.490 0.187
Ga 0.750 0.010 0.687
Ga 0.250 0.680 0.484
Ga 0.250 0.510 0.813
Er 0.750 0.869 0.450
Er 0.250 0.369 0.050
Er 0.750 0.192 0.282
Er 0.250 0.692 0.218
Er 0.250 0.069 0.872
Er 0.750 0.308 0.782
Er 0.250 0.808 0.718
Er 0.750 0.631 0.950
Er 0.750 0.569 0.628
Er 0.250 0.131 0.550
Er 0.750 0.931 0.128
Er 0.250 0.431 0.372
Cu 0.750 0.885 0.876
Cu 0.250 0.115 0.124
Cu 0.250 0.385 0.624
Cu 0.750 0.615 0.376

Output
- Total magnetic moment: 0.00 μB/atom
- Volume: 22.65 Å³/atom

***

<ii>
A plane-wave DFT calculation with PBE was carried out for Er3Ga2Cu after structural relaxation.

abc: 3.407 3.407 11.171
angles: 90.00 90.00 90.00
Atoms (fractional coordinates):
Ga 0.500 0.500 0.174
Ga 0.500 0.500 0.826
Cu 0.500 0.500 0.500
Er 0.000 0.000 0.345
Er 0.000 0.000 0.655
Er 0.000 0.000 0.000

Output
- Total magnetic moment: 0.00 μB/atom
- Volume: 21.61 Å³/atom

***

<i> is the most stable structure; the next one sits 6 meV per atom above it.

***

<i>
A plane-wave DFT calculation with PBE was carried out for Er4GaCu3 after structural relaxation.

abc: 3.619 4.449 10.669
angles: 90.00 90.00 90.00
Atoms (fractional coordinates):
Cu 0.000 0.000 0.430
Cu 0.500 0.000 0.926
Cu 0.000 0.500 0.572
Er 0.000 0.500 0.847
Er 0.500 0.000 0.638
Er 0.500 0.500 0.364
Er 0.000 0.000 0.149
Ga 0.500 0.500 0.074

Output
- Total magnetic moment: 0.00 μB/atom
- Volume: 21.47 Å³/atom

***

<ii>
A plane-wave DFT calculation with PBE was carried out for Er4GaCu3 after structural relaxation.

abc: 4.894 4.894 8.501
angles: 73.27 73.27 60.00
Atoms (fractional coordinates):
Er 0.127 0.127 0.618
Er 0.622 0.622 0.134
Er 0.873 0.873 0.382
Er 0.378 0.378 0.866
Ga 0.000 0.000 0.000
Cu 0.500 0.500 0.500
Cu 0.253 0.253 0.242
Cu 0.747 0.747 0.758

Output
- Total magnetic moment: 0.00 μB/atom
- Volume: 20.79 Å³/atom

***

<ii> is the most stable structure; the next one sits 17 meV per atom above it.

***

<i>
A plane-wave DFT calculation with PBE was carried out for ErGaCuNi after structural relaxation.

abc: 4.209 4.210 5.018
angles: 114.69 90.00 119.99
Atoms (fractional coordinates):
Cu 0.405 0.810 0.857
Ga 0.128 0.256 0.026
Ni 0.820 0.640 0.102
Er 0.614 0.227 0.483

Output
- Total magnetic moment: 0.00 μB/atom
- Volume: 16.87 Å³/atom

***

<ii>
A plane-wave DFT calculation with PBE was carried out for ErGaCuNi after structural relaxation.

abc: 4.482 4.482 4.482
angles: 60.00 60.00 60.00
Atoms (fractional coordinates):
Er 0.500 0.500 0.500
Cu 0.250 0.250 0.250
Ga 0.000 0.000 0.000
Ni 0.750 0.750 0.750

Output
- Total magnetic moment: 0.00 μB/atom
- Volume: 15.91 Å³/atom

***

<i> is the most stable structure; the next one sits 67 meV per atom above it.

***

<i>
A plane-wave DFT calculation with PBE was carried out for GdEr2Cu after structural relaxation.

abc: 3.467 3.467 8.683
angles: 90.00 90.00 90.00
Atoms (fractional coordinates):
Er 0.000 0.000 0.806
Er 0.000 0.000 0.194
Gd 0.500 0.500 0.500
Cu 0.500 0.500 0.000

Output
- Total magnetic moment: 1.92 μB/atom
- Volume: 26.09 Å³/atom

***

<ii>
A plane-wave DFT calculation with PBE was carried out for GdEr2Cu after structural relaxation.

abc: 3.434 3.434 11.201
angles: 81.18 81.18 60.00
Atoms (fractional coordinates):
Cu 0.000 0.000 0.000
Gd 0.500 0.500 0.500
Er 0.918 0.918 0.246
Er 0.082 0.082 0.754

Output
- Total magnetic moment: 1.76 μB/atom
- Volume: 28.15 Å³/atom

***

<i> is the most stable structure; the next one sits 533 meV per atom above it.